(1)
Sr2HfSb | PBE-GGA | relaxed

Summary:
**Space-group type**: F-43m
**DFT total energy**: -4.13 eV per atom
**Total magnetic moment**: 0.2320 μB/atom
**Density**: 6606 kg/m3

Cell lengths 5.5292, 5.5292, 5.5292 Å; angles 60.00, 60.00, 60.00 degrees
Fractional positions:
Sr  0.0000  0.0000  0.0000
Sr  0.2500  0.2500  0.2500
Hf  0.7500  0.7500  0.7500
Sb  0.5000  0.5000  0.5000

(2)
GdSb2 | PBE-GGA | relaxed

Summary:
**Space-group type**: C222
**DFT total energy**: -4.51 eV per atom
**Total magnetic moment**: 0.0015 μB/atom
**Density**: 7699 kg/m3

Cell lengths 3.6662, 3.6662, 7.5740 Å; angles 90.00, 90.00, 121.89 degrees
Fractional positions:
Gd  0.0000  0.0000  0.0000
Sb  0.0000  0.5000  0.3264
Sb  0.5000  0.0000  0.6736

(3)
HfPaPb | PBE-GGA | relaxed

Summary:
**Offset from the most stable computed form**: 0 meV per atom
**Space-group type**: F-43m
**Total magnetic moment**: 0.5956 μB/atom
**Density**: 11557 kg/m3

Cell lengths 5.0042, 5.0042, 5.0042 Å; angles 60.00, 60.00, 60.00 degrees
Fractional positions:
Hf  0.0000  0.0000  0.0000
Pa  0.5000  0.5000  0.5000
Pb  0.2500  0.2500  0.2500

(4)
NdAgPbS3 | PBE-GGA | relaxed

Summary:
**Offset from the most stable computed form**: 13 meV per atom
**Space-group type**: Pnma
**Total magnetic moment**: 0.0000 μB/atom
**Density**: 6430 kg/m3

Cell lengths 11.4918, 4.2669, 11.7027 Å; angles 90.00, 90.00, 90.00 degrees
Fractional positions:
Nd  0.0154  0.2500  0.1778
Nd  0.4846  0.7500  0.6778
Nd  0.5154  0.2500  0.3222
Nd  0.9846  0.7500  0.8222
Ag  0.2462  0.7500  0.2965
Ag  0.2538  0.2500  0.7965
Ag  0.7462  0.7500  0.2035
Ag  0.7538  0.2500  0.7035
Pb  0.1704  0.2500  0.5103
Pb  0.3296  0.7500  0.0103
Pb  0.6704  0.2500  0.9897
Pb  0.8296  0.7500  0.4897
S  0.0341  0.7500  0.3571
S  0.0919  0.2500  0.9383
S  0.2303  0.7500  0.6768
S  0.2697  0.2500  0.1768
S  0.4081  0.7500  0.4383
S  0.4659  0.2500  0.8571
S  0.5341  0.7500  0.1429
S  0.5919  0.2500  0.5617
S  0.7303  0.7500  0.8232
S  0.7697  0.2500  0.3232
S  0.9081  0.7500  0.0617
S  0.9659  0.2500  0.6429

(5)
LuThCo | PBE-GGA | relaxed

Summary:
**Space-group type**: F-43m
**DFT total energy**: -5.52 eV per atom
**Total magnetic moment**: 0.0016 μB/atom
**Density**: 10779 kg/m3

Cell lengths 4.6649, 4.6649, 4.6649 Å; angles 60.00, 60.00, 60.00 degrees
Fractional positions:
Lu  0.0000  0.0000  0.0000
Th  0.2500  0.2500  0.2500
Co  0.7500  0.7500  0.7500

(6)
Ba2TaInS6 | PBE-GGA | relaxed

Summary:
**Space-group type**: Fm-3m
**DFT total energy**: -5.55 eV per atom
**Total magnetic moment**: 0.0001 μB/atom
**Density**: 5072 kg/m3

Cell lengths 7.0686, 7.0686, 7.0686 Å; angles 60.00, 60.00, 60.00 degrees
Fractional positions:
Ba  0.2500  0.2500  0.2500
Ba  0.7500  0.7500  0.7500
Ta  0.0000  0.0000  0.0000
In  0.5000  0.5000  0.5000
S  0.2433  0.2433  0.7567
S  0.2433  0.7567  0.2433
S  0.2433  0.7567  0.7567
S  0.7567  0.2433  0.2433
S  0.7567  0.2433  0.7567
S  0.7567  0.7567  0.2433

(7)
Li4CdTeO6 | PBE-GGA | relaxed

Summary:
**Space-group type**: C2
**DFT total energy**: -5.06 eV per atom
**Density**: 5016 kg/m3

Cell lengths 5.3609, 5.3609, 5.1732 Å; angles 100.59, 100.59, 119.54 degrees
Fractional positions:
Li  0.0000  0.0000  0.0000
Li  0.3435  0.6565  0.0000
Li  0.6727  0.3273  0.0000
Li  0.8378  0.1622  0.5000
Cd  0.1710  0.8290  0.5000
Te  0.5044  0.4956  0.5000
O  0.1224  0.4039  0.2533
O  0.2786  0.2874  0.7282
O  0.4366  0.1273  0.2538
O  0.5961  0.8776  0.7467
O  0.7126  0.7214  0.2718
O  0.8727  0.5634  0.7462

(8)
Cs2YHfSe6 | PBE-GGA | relaxed

Summary:
**Space-group type**: Fm-3m
**DFT total energy**: -5.03 eV per atom
**Total magnetic moment**: 0.0004 μB/atom
**Density**: 5181 kg/m3

Cell lengths 7.6993, 7.6993, 7.6993 Å; angles 60.00, 60.00, 60.00 degrees
Fractional positions:
Cs  0.2500  0.2500  0.2500
Cs  0.7500  0.7500  0.7500
Y  0.0000  0.0000  0.0000
Hf  0.5000  0.5000  0.5000
Se  0.2581  0.2581  0.7419
Se  0.2581  0.7419  0.2581
Se  0.2581  0.7419  0.7419
Se  0.7419  0.2581  0.2581
Se  0.7419  0.2581  0.7419
Se  0.7419  0.7419  0.2581

(9)
PPbW4C2 | PBE-GGA | relaxed

Summary:
**Space-group type**: P-6m2
**DFT total energy**: -9.68 eV per atom
**Total magnetic moment**: 0.0012 μB/atom
**Density**: 14293 kg/m3

Cell lengths 3.2561, 3.2561, 12.6220 Å; angles 90.00, 90.00, 120.00 degrees
Fractional positions:
P  0.0000  0.0000  0.0000
Pb  0.3333  0.6667  0.5000
W  0.0000  0.0000  0.3022
W  0.0000  0.0000  0.6978
W  0.3333  0.6667  0.1315
W  0.3333  0.6667  0.8685
C  0.6667  0.3333  0.2307
C  0.6667  0.3333  0.7693

(10)
NaCdSn | PBE-GGA | relaxed

Summary:
**Offset from the most stable computed form**: 382 meV per atom
**Space-group type**: F-43m
**Density**: 4988 kg/m3

Cell lengths 4.9274, 4.9274, 4.9274 Å; angles 60.00, 60.00, 60.00 degrees
Fractional positions:
Na  0.0000  0.0000  0.0000
Cd  0.7500  0.7500  0.7500
Sn  0.2500  0.2500  0.2500

(11)
ZrAgAsO | PBE-GGA | relaxed

Summary:
**Offset from the most stable computed form**: 273 meV per atom
**Space-group type**: Pmc2_1
**Total magnetic moment**: 0.0008 μB/atom
**Density**: 5624 kg/m3

Cell lengths 4.0128, 6.4130, 6.6545 Å; angles 90.00, 90.00, 90.00 degrees
Fractional positions:
Zr  0.0000  0.1068  0.0000
Zr  0.0000  0.8932  0.5000
Ag  0.5000  0.2991  0.4602
Ag  0.5000  0.7009  0.9602
As  0.5000  0.3148  0.8404
As  0.5000  0.6852  0.3404
O  0.0000  0.1344  0.3033
O  0.0000  0.8656  0.8033

(12)
SrZn2SiSn | PBE-GGA | relaxed

Summary:
**Space-group type**: I4mm
**DFT total energy**: -3.01 eV per atom
**Density**: 5504 kg/m3

Cell lengths 6.3120, 6.3120, 6.3120 Å; angles 138.28, 138.28, 60.47 degrees
Fractional positions:
Sr  0.0000  0.0000  0.0000
Zn  0.2340  0.7340  0.5000
Zn  0.7340  0.2340  0.5000
Si  0.6209  0.6209  0.0000
Sn  0.3780  0.3780  0.0000

(13)
Na3Co | PBE-GGA | relaxed

Summary:
**Space-group type**: Pm-3m
**DFT total energy**: -2.10 eV per atom
**Total magnetic moment**: 0.4250 μB/atom
**Density**: 2181 kg/m3

Cell lengths 4.6004, 4.6004, 4.6004 Å; angles 90.00, 90.00, 90.00 degrees
Fractional positions:
Na  0.0000  0.0000  0.5000
Na  0.0000  0.5000  0.0000
Na  0.5000  0.0000  0.0000
Co  0.5000  0.5000  0.5000

(14)
Li2Zn2In2IrPd | PBE-GGA | relaxed

Summary:
**Space-group type**: P-4m2
**DFT total energy**: -3.62 eV per atom
**Total magnetic moment**: 0.0003 μB/atom
**Density**: 8822 kg/m3

Cell lengths 4.4796, 4.4796, 6.3122 Å; angles 90.00, 90.00, 90.00 degrees
Fractional positions:
Li  0.0000  0.0000  0.0000
Li  0.5000  0.5000  0.5000
Zn  0.0000  0.5000  0.2433
Zn  0.5000  0.0000  0.7567
In  0.0000  0.5000  0.7517
In  0.5000  0.0000  0.2483
Ir  0.5000  0.5000  0.0000
Pd  0.0000  0.0000  0.5000

(15)
Fe2Tc | PBE-GGA | relaxed

Summary:
**Offset from the most stable computed form**: 1095 meV per atom
**Space-group type**: P4_2/mnm
**Total magnetic moment**: 1.4571 μB/atom
**Density**: 6993 kg/m3

Cell lengths 6.2786, 6.2786, 2.5263 Å; angles 90.00, 90.00, 90.00 degrees
Fractional positions:
Fe  0.2423  0.2423  0.0000
Fe  0.2577  0.7423  0.5000
Fe  0.7423  0.2577  0.5000
Fe  0.7577  0.7577  0.0000
Tc  0.0000  0.0000  0.5000
Tc  0.5000  0.5000  0.0000

(16)
ZnTcNi2 | PBE-GGA | relaxed

Summary:
**Space-group type**: F-43m
**DFT total energy**: -5.57 eV per atom
**Total magnetic moment**: 0.1787 μB/atom
**Density**: 9351 kg/m3

Cell lengths 4.1314, 4.1314, 4.1314 Å; angles 60.00, 60.00, 60.00 degrees
Fractional positions:
Zn  0.0000  0.0000  0.0000
Tc  0.2500  0.2500  0.2500
Ni  0.5000  0.5000  0.5000
Ni  0.7500  0.7500  0.7500

(17)
HfAlFe | PBE-GGA | relaxed

Summary:
**Space-group type**: Pnma
**DFT total energy**: -7.68 eV per atom
**Total magnetic moment**: 0.0004 μB/atom
**Density**: 9278 kg/m3

Cell lengths 6.5777, 4.2957, 6.6212 Å; angles 90.00, 90.00, 90.00 degrees
Fractional positions:
Hf  0.0251  0.2500  0.1955
Hf  0.4749  0.7500  0.6955
Hf  0.5251  0.2500  0.3045
Hf  0.9749  0.7500  0.8045
Al  0.2000  0.2500  0.6114
Al  0.3000  0.7500  0.1114
Al  0.7000  0.2500  0.8886
Al  0.8000  0.7500  0.3886
Fe  0.1609  0.7500  0.4485
Fe  0.3391  0.2500  0.9485
Fe  0.6609  0.7500  0.0515
Fe  0.8391  0.2500  0.5515

(18)
PmBeO3 | PBE-GGA | relaxed

Summary:
**Space-group type**: Pnma
**DFT total energy**: -7.25 eV per atom
**Total magnetic moment**: 0.0000 μB/atom
**Density**: 6126 kg/m3

Cell lengths 4.7502, 8.1442, 5.6620 Å; angles 90.00, 90.00, 90.00 degrees
Fractional positions:
Pm  0.0000  0.0000  0.0000
Pm  0.0000  0.5000  0.0000
Pm  0.5000  0.0000  0.5000
Pm  0.5000  0.5000  0.5000
Be  0.0269  0.2500  0.4227
Be  0.4731  0.7500  0.9227
Be  0.5269  0.2500  0.0773
Be  0.9731  0.7500  0.5773
O  0.0313  0.6048  0.3936
O  0.0313  0.8952  0.3936
O  0.1539  0.7500  0.8226
O  0.3461  0.2500  0.3226
O  0.4687  0.1048  0.8936
O  0.4687  0.3952  0.8936
O  0.5313  0.6048  0.1064
O  0.5313  0.8952  0.1064
O  0.6539  0.7500  0.6774
O  0.8461  0.2500  0.1774
O  0.9687  0.1048  0.6064
O  0.9687  0.3952  0.6064

(19)
Hf2Sc4Cd3C3 | PBE-GGA | relaxed

Summary:
**Space-group type**: C2/c
**DFT total energy**: -6.78 eV per atom
**Total magnetic moment**: 0.0456 μB/atom
**Density**: 6917 kg/m3

Cell lengths 5.7232, 5.7232, 15.7449 Å; angles 100.63, 100.63, 60.14 degrees
Fractional positions:
Hf  0.0263  0.8535  0.5781
Hf  0.1465  0.9737  0.9219
Hf  0.8535  0.0263  0.0781
Hf  0.9737  0.1465  0.4219
Sc  0.1943  0.3674  0.0823
Sc  0.3120  0.4661  0.4178
Sc  0.3674  0.1943  0.5823
Sc  0.4661  0.3120  0.9178
Sc  0.5339  0.6880  0.0822
Sc  0.6326  0.8057  0.4177
Sc  0.6880  0.5339  0.5822
Sc  0.8057  0.6326  0.9177
Cd  0.0788  0.2445  0.7499
Cd  0.2445  0.0788  0.2499
Cd  0.4040  0.5960  0.7500
Cd  0.5960  0.4040  0.2500
Cd  0.7555  0.9212  0.7501
Cd  0.9212  0.7555  0.2501
C  0.0000  0.5000  0.5000
C  0.1588  0.6823  0.0000
C  0.3177  0.8412  0.5000
C  0.5000  0.0000  0.0000
C  0.6823  0.1588  0.5000
C  0.8412  0.3177  0.0000

(20)
GdDyInNi2 | PBE-GGA | relaxed

Summary:
**Space-group type**: Amm2
**DFT total energy**: -5.16 eV per atom
**Total magnetic moment**: 0.0005 μB/atom
**Density**: 8931 kg/m3

Cell lengths 3.7027, 7.3688, 7.3688 Å; angles 30.69, 90.00, 90.00 degrees
Fractional positions:
Gd  0.0000  0.0000  0.0000
Dy  0.0000  0.2753  0.2753
In  0.5000  0.6383  0.6383
Ni  0.5000  0.4378  0.4378
Ni  0.5000  0.8356  0.8356